Entry 1:
# CeThPaGa, optimized geometry, DFT PBE
data_CeThPaGa
_space_group_name_H-M_alt 'F -4 3 m'
_space_group_IT_number 216
_space_group_name_Hall 'F -4 2 3'
_cell_length_a 7.428
_cell_length_b 7.428
_cell_length_c 7.428
_cell_angle_alpha 90.00
_cell_angle_beta 90.00
_cell_angle_gamma 90.00
loop_
_atom_site_label
_atom_site_fract_x
_atom_site_fract_y
_atom_site_fract_z
Ce1 0.000 0.000 0.000
Th1 0.000 0.000 0.500
Pa1 0.250 0.250 0.250
Ga1 0.250 0.250 0.750
# * spin magnetization: 1.2 μB/f.u.
# * E_tot: -102.3 eV/cell
# * formation energy: 73 meV/atom
# * mass density: 10.90 Mg/m³



Entry 2:
# CePaTiGa, optimized geometry, DFT PBE
data_CePaTiGa
_space_group_name_H-M_alt 'F -4 3 m'
_space_group_IT_number 216
_space_group_name_Hall 'F -4 2 3'
_cell_length_a 6.964
_cell_length_b 6.964
_cell_length_c 6.964
_cell_angle_alpha 90.00
_cell_angle_beta 90.00
_cell_angle_gamma 90.00
loop_
_atom_site_label
_atom_site_fract_x
_atom_site_fract_y
_atom_site_fract_z
Ce1 0.000 0.000 0.000
Pa1 0.250 0.250 0.250
Ti1 0.000 0.000 0.500
Ga1 0.250 0.250 0.750
# * spin magnetization: 1.3 μB/f.u.
# * E_tot: -105.6 eV/cell
# * formation energy: -14 meV/atom
# * mass density: 9.61 Mg/m³



Entry 3:
# Ce2PaZn2Ga2, optimized geometry, DFT PBE
data_Ce2PaZn2Ga2
_space_group_name_H-M_alt 'R -3 m'
_space_group_IT_number 166
_space_group_name_Hall '-R 3 2"'
_cell_length_a 4.3058
_cell_length_b 4.3058
_cell_length_c 27.5924
_cell_angle_alpha 90.00
_cell_angle_beta 90.00
_cell_angle_gamma 120.00
loop_
_atom_site_label
_atom_site_fract_x
_atom_site_fract_y
_atom_site_fract_z
Ce1 0.0000 0.0000 0.1416
Pa1 0.0000 0.0000 0.0000
Zn1 0.0000 0.0000 0.3998
Ga1 0.0000 0.0000 0.2644
# * spin magnetization: 2.2 μB/f.u.
# * E_tot: -95.4 eV/cell
# * formation energy: -260 meV/atom
# * mass density: 8.79 Mg/m³



Entry 4:
# CeZrPaGa, optimized geometry, DFT PBE
data_CeZrPaGa
_space_group_name_H-M_alt 'F -4 3 m'
_space_group_IT_number 216
_space_group_name_Hall 'F -4 2 3'
_cell_length_a 7.136
_cell_length_b 7.136
_cell_length_c 7.136
_cell_angle_alpha 90.00
_cell_angle_beta 90.00
_cell_angle_gamma 90.00
loop_
_atom_site_label
_atom_site_fract_x
_atom_site_fract_y
_atom_site_fract_z
Ce1 0.000 0.000 0.000
Zr1 0.000 0.000 0.500
Pa1 0.250 0.250 0.750
Ga1 0.250 0.250 0.250
# * spin magnetization: 0.0 μB/f.u.
# * E_tot: -108.7 eV/cell
# * formation energy: -40 meV/atom
# * mass density: 9.72 Mg/m³



Entry 5:
# Ce4GaPb, optimized geometry, DFT PBE
data_Ce4GaPb
_space_group_name_H-M_alt 'C 1 2/c 1'
_space_group_IT_number 15
_cell_length_a 9.032
_cell_length_b 12.979
_cell_length_c 5.688
_cell_angle_alpha 90.00
_cell_angle_beta 111.03
_cell_angle_gamma 90.00
loop_
_space_group_symop_operation_xyz
'x,y,z'
'-x,-y,-z'
'-x,y,-z+1/2'
'x,-y,z+1/2'
'x+1/2,y+1/2,z'
'-x+1/2,-y+1/2,-z'
'-x+1/2,y+1/2,-z+1/2'
'x+1/2,-y+1/2,z+1/2'
loop_
_atom_site_label
_atom_site_fract_x
_atom_site_fract_y
_atom_site_fract_z
Ce1 0.122 0.191 0.166
Ce2 0.213 0.394 0.371
Ga1 0.000 0.022 0.750
Pb1 0.000 0.383 0.750
# * spin magnetization: 0.4 μB/f.u.
# * E_tot: -129.6 eV/cell
# * formation energy: -320 meV/atom
# * mass density: 8.94 Mg/m³
# * distance to the lowest polymorph of the same formula: 0.0 meV/atom



Entry 6:
# Ce5Ga2Pb, optimized geometry, DFT PBE
data_Ce5Ga2Pb
_space_group_name_H-M_alt 'C m c m'
_space_group_IT_number 63
_space_group_name_Hall '-C 2c 2'
_cell_length_a 5.137
_cell_length_b 9.878
_cell_length_c 17.187
_cell_angle_alpha 90.00
_cell_angle_beta 90.00
_cell_angle_gamma 90.00
loop_
_atom_site_label
_atom_site_fract_x
_atom_site_fract_y
_atom_site_fract_z
Ce1 0.000 0.063 0.068
Ce2 0.000 0.271 0.750
Ce3 0.000 0.415 0.101
Ga1 0.000 0.266 0.571
Pb1 0.000 0.046 0.250
# * spin magnetization: 3.7 μB/f.u.
# * E_tot: -167.5 eV/cell
# * formation energy: -305 meV/atom
# * mass density: 7.98 Mg/m³
# * distance to the lowest polymorph of the same formula: 35.3 meV/atom